Entry from the Alexandria database: a relaxed structure of Rb2TeBr6F (GGA-PBE).

## Properties
**DOS at the Fermi energy**: 2.09 states/eV per cell
**VASP energy**: -2.68 eV per atom
**Total moment**: 0.000 Bohr magnetons per cell
**Space group**: No. 139
**ΔE_f (raw)**: -983 meV/atom

a = 7.7073 Å, b = 7.7073 Å, c = 7.7073 Å
α = 115.15°, β = 115.15°, γ = 98.62°
Last column: nearest neighbours and their distance in Å.
Sites, in units of the cell vectors:
Rb 0.2500 0.7500 0.5000  12 Br 3.86-4.14
Rb 0.7500 0.2500 0.5000  12 Br 3.86-4.14
Te 0.0000 0.0000 0.0000  6 Br 2.71-2.72
Br 0.2329 0.2329 0.4658  1 Te 2.72
Br 0.2329 0.7671 0.0000  1 Te 2.72
Br 0.2699 0.2699 0.0000  1 F 2.31
Br 0.7301 0.7301 0.0000  1 F 2.31
Br 0.7671 0.2329 0.0000  1 Te 2.72
Br 0.7671 0.7671 0.5342  1 Te 2.72
F 0.5000 0.5000 0.0000  2 Br 2.31

=====

Entry from the Alexandria database: a relaxed structure of PmY12Sc6 (GGA-PBE).

## Properties
**DOS at the Fermi energy**: 33.89 states/eV per cell
**Energy relative to the elements**: 0.2298 eV per atom
**VASP energy**: -6.10 eV per atom
**Total moment**: 0.003 Bohr magnetons per cell
**Space group**: No. 204

a = 9.0926 Å, b = 9.0926 Å, c = 9.0926 Å
α = 109.47°, β = 109.47°, γ = 109.47°
Last column: nearest neighbours and their distance in Å.
Sites, in units of the cell vectors:
Pm 0.0000 0.0000 0.0000  12 Y 3.49
Y 0.0732 0.2688 0.8044  1 Sc 3.00
Y 0.1956 0.4645 0.2688  1 Sc 3.00
Y 0.1956 0.9268 0.7312  1 Sc 3.00
Y 0.2688 0.1956 0.4645  1 Sc 3.00
Y 0.2688 0.8044 0.0732  1 Sc 3.00
Y 0.4645 0.2688 0.1956  1 Sc 3.00
Y 0.5355 0.7312 0.8044  1 Sc 3.00
Y 0.7312 0.1956 0.9268  1 Sc 3.00
Y 0.7312 0.8044 0.5355  1 Sc 3.00
Y 0.8044 0.0732 0.2688  1 Sc 3.00
Y 0.8044 0.5355 0.7312  1 Sc 3.00
Y 0.9268 0.7312 0.1956  1 Sc 3.00
Sc 0.1371 0.5000 0.6371  1 Sc 2.88, 2 Y 3.00
Sc 0.3629 0.8629 0.5000  1 Sc 2.88, 2 Y 3.00
Sc 0.5000 0.3629 0.8629  1 Sc 2.88, 2 Y 3.00
Sc 0.5000 0.6371 0.1371  1 Sc 2.88, 2 Y 3.00
Sc 0.6371 0.1371 0.5000  1 Sc 2.88, 2 Y 3.00
Sc 0.8629 0.5000 0.3629  1 Sc 2.88, 2 Y 3.00

=====

Entry from the Alexandria database: a relaxed structure of BeCOF2 (GGA-PBE).

## Properties
**DOS at the Fermi energy**: 0.89 states/eV per cell
**VASP energy**: -3.90 eV per atom
**Total moment**: 0.000 Bohr magnetons per cell
**Space group**: No. 123
**ΔE_f (raw)**: 434 meV/atom
**E above lowest polymorph**: 743.2 meV per atom

a = 3.6916 Å, b = 3.6916 Å, c = 3.4794 Å
α = 90.00°, β = 90.00°, γ = 90.00°
Last column: nearest neighbours and their distance in Å.
Sites, in units of the cell vectors:
Be 0.0000 0.0000 0.0000  8 F 2.54, 4 O 2.61
C 0.5000 0.5000 0.5000  2 O 1.74, 4 F 1.85
O 0.5000 0.5000 0.0000  2 C 1.74
F 0.0000 0.5000 0.5000  2 C 1.85
F 0.5000 0.0000 0.5000  2 C 1.85

=====

Entry from the Alexandria database: a relaxed structure of Li3PbSe4O12 (GGA-PBE).

## Properties
**DOS at the Fermi energy**: 3.37 states/eV per cell
**VASP energy**: -4.91 eV per atom
**Total moment**: 0.000 Bohr magnetons per cell
**Space group**: No. 155
**ΔE_f (raw)**: -761 meV/atom

a = 6.7156 Å, b = 6.7156 Å, c = 6.7156 Å
α = 105.70°, β = 105.70°, γ = 105.70°
Last column: nearest neighbours and their distance in Å.
Sites, in units of the cell vectors:
Li 0.0000 0.5832 0.4168  6 O 2.12-2.26
Li 0.4168 0.0000 0.5832  6 O 2.12-2.26
Li 0.5832 0.4168 0.0000  6 O 2.12-2.26
Pb 0.0000 0.0000 0.0000  6 O 2.31
Se 0.0941 0.5000 0.9059  3 O 1.68-1.85
Se 0.5000 0.5000 0.5000  3 O 1.64
Se 0.5000 0.9059 0.0941  3 O 1.68-1.85
Se 0.9059 0.0941 0.5000  3 O 1.68-1.85
O 0.0098 0.2371 0.3276  1 Se 1.85
O 0.0631 0.9369 0.5000  1 Se 1.68
O 0.2371 0.3276 0.0098  1 Se 1.85
O 0.3276 0.0098 0.2371  1 Se 1.85
O 0.3467 0.6533 0.5000  1 Se 1.64
O 0.5000 0.0631 0.9369  1 Se 1.68
O 0.5000 0.3467 0.6533  1 Se 1.64
O 0.6533 0.5000 0.3467  1 Se 1.64
O 0.6724 0.7629 0.9902  1 Se 1.85
O 0.7629 0.9902 0.6724  1 Se 1.85
O 0.9369 0.5000 0.0631  1 Se 1.68
O 0.9902 0.6724 0.7629  1 Se 1.85

=====

Entry from the Alexandria database: a relaxed structure of HfZnRe (GGA-PBE).

## Properties
**DOS at the Fermi energy**: 14.33 states/eV per cell
**Energy relative to the elements**: -0.0328 eV per atom
**VASP energy**: -7.92 eV per atom
**Total moment**: 0.000 Bohr magnetons per cell
**Space group**: No. 63

a = 3.0331 Å, b = 16.5388 Å, c = 4.0342 Å
α = 90.00°, β = 90.00°, γ = 90.00°
Last column: nearest neighbours and their distance in Å.
Sites, in units of the cell vectors:
Hf 0.0000 0.1217 0.2500  5 Re 2.79-2.91, 6 Zn 2.85-3.10, 2 Hf 3.03
Hf 0.0000 0.8783 0.7500  5 Re 2.79-2.91, 6 Zn 2.85-3.10, 2 Hf 3.03
Hf 0.5000 0.3783 0.7500  5 Re 2.79-2.91, 6 Zn 2.85-3.10, 2 Hf 3.03
Hf 0.5000 0.6217 0.2500  5 Re 2.79-2.91, 6 Zn 2.85-3.10, 2 Hf 3.03
Zn 0.0000 0.4584 0.2500  2 Zn 2.44
Zn 0.0000 0.5416 0.7500  2 Zn 2.44
Zn 0.5000 0.0416 0.7500  2 Zn 2.44
Zn 0.5000 0.9584 0.2500  2 Zn 2.44
Re 0.0000 0.2906 0.2500  1 Zn 2.77, 5 Hf 2.79-2.91, 6 Re 2.86-3.03
Re 0.0000 0.7094 0.7500  1 Zn 2.77, 5 Hf 2.79-2.91, 6 Re 2.86-3.03
Re 0.5000 0.2094 0.7500  1 Zn 2.77, 5 Hf 2.79-2.91, 6 Re 2.86-3.03
Re 0.5000 0.7906 0.2500  1 Zn 2.77, 5 Hf 2.79-2.91, 6 Re 2.86-3.03

=====

Entry from the Alexandria database: a relaxed structure of AcNd4Ho2Tm (GGA-PBE).

## Properties
**DOS at the Fermi energy**: 16.26 states/eV per cell
**Energy relative to the elements**: 0.1190 eV per atom
**VASP energy**: -4.48 eV per atom
**Total moment**: 0.000 Bohr magnetons per cell
**Space group**: No. 123

a = 5.9529 Å, b = 5.9529 Å, c = 7.8554 Å
α = 90.00°, β = 90.00°, γ = 90.00°
Last column: nearest neighbours and their distance in Å.
Sites, in units of the cell vectors:
Ac 0.0000 0.0000 0.0000  8 Nd 3.66, 2 Ho 3.93
Nd 0.0000 0.5000 0.2721  4 Ho 3.47-3.66, 2 Tm 3.47, 1 Nd 3.58, 2 Ac 3.66
Nd 0.0000 0.5000 0.7279  4 Ho 3.47-3.66, 2 Tm 3.47, 1 Nd 3.58, 2 Ac 3.66
Nd 0.5000 0.0000 0.2721  4 Ho 3.47-3.66, 2 Tm 3.47, 1 Nd 3.58, 2 Ac 3.66
Nd 0.5000 0.0000 0.7279  4 Ho 3.47-3.66, 2 Tm 3.47, 1 Nd 3.58, 2 Ac 3.66
Ho 0.0000 0.0000 0.5000  8 Nd 3.47
Ho 0.5000 0.5000 0.0000  8 Nd 3.66, 2 Tm 3.93
Tm 0.5000 0.5000 0.5000  8 Nd 3.47

=====

Entry from the Alexandria database: a relaxed structure of NiAsSe2Cl (GGA-PBE).

## Properties
**DOS at the Fermi energy**: 3.29 states/eV per cell
**VASP energy**: -2.95 eV per atom
**Total moment**: 0.013 Bohr magnetons per cell
**Space group**: No. 123
**ΔE_f (raw)**: 902 meV/atom
**E above lowest polymorph**: 493.2 meV per atom

a = 5.2027 Å, b = 5.2027 Å, c = 4.0593 Å
α = 90.00°, β = 90.00°, γ = 90.00°
Last column: nearest neighbours and their distance in Å.
Sites, in units of the cell vectors:
Ni 0.0000 0.0000 0.0000  2 Cl 2.03
As 0.5000 0.5000 0.0000  8 Se 3.30, 4 Ni 3.68
Se 0.0000 0.5000 0.5000  2 Cl 2.60
Se 0.5000 0.0000 0.5000  2 Cl 2.60
Cl 0.0000 0.0000 0.5000  2 Ni 2.03

=====

Entry from the Alexandria database: a relaxed structure of Rb2Ba2Pd (GGA-PBE).

## Properties
**DOS at the Fermi energy**: 11.33 states/eV per cell
**Energy relative to the elements**: 0.0041 eV per atom
**VASP energy**: -2.19 eV per atom
**Total moment**: 0.000 Bohr magnetons per cell
**Space group**: No. 127

a = 8.5996 Å, b = 8.5996 Å, c = 8.1217 Å
α = 90.00°, β = 90.00°, γ = 90.00°
Last column: nearest neighbours and their distance in Å.
Sites, in units of the cell vectors:
Rb 0.1810 0.3190 0.0000  2 Ba 4.37, 5 Rb 4.40-4.46
Rb 0.3190 0.8190 0.0000  2 Ba 4.37, 5 Rb 4.40-4.46
Rb 0.6810 0.1810 0.0000  2 Ba 4.37, 5 Rb 4.40-4.46
Rb 0.8190 0.6810 0.0000  2 Ba 4.37, 5 Rb 4.40-4.46
Ba 0.1860 0.6860 0.5000  2 Pd 3.14
Ba 0.3140 0.1860 0.5000  2 Pd 3.14
Ba 0.6860 0.8140 0.5000  2 Pd 3.14
Ba 0.8140 0.3140 0.5000  2 Pd 3.14
Pd 0.0000 0.0000 0.5000  4 Ba 3.14
Pd 0.5000 0.5000 0.5000  4 Ba 3.14

=====

Entry from the Alexandria database: a relaxed structure of La3Cd9Ag2 (GGA-PBE).

## Properties
**DOS at the Fermi energy**: 11.02 states/eV per cell
**Energy relative to the elements**: -0.2806 eV per atom
**VASP energy**: -2.33 eV per atom
**Total moment**: 0.000 Bohr magnetons per cell
**Space group**: No. 71

a = 8.9982 Å, b = 8.9982 Å, c = 8.9982 Å
α = 147.96°, β = 113.02°, γ = 76.19°
Last column: nearest neighbours and their distance in Å.
Sites, in units of the cell vectors:
La 0.0000 0.0000 0.0000  12 Cd 3.43-3.59
La 0.2953 0.2953 0.0000  2 Ag 3.35, 12 Cd 3.41-3.63
La 0.7047 0.7047 0.0000  2 Ag 3.35, 12 Cd 3.41-3.63
Cd 0.0131 0.6542 0.3589  4 Cd 2.80-3.04, 1 Ag 2.89
Cd 0.1475 0.8626 0.2849  4 Cd 2.87-3.04, 2 Ag 3.19
Cd 0.2953 0.6542 0.6411  4 Cd 2.80-3.04, 1 Ag 2.89
Cd 0.4222 0.1374 0.2849  4 Cd 2.87-3.04, 2 Ag 3.19
Cd 0.5000 0.0000 0.5000  4 Cd 2.89, 4 Ag 2.99
Cd 0.5778 0.8626 0.7151  4 Cd 2.87-3.04, 2 Ag 3.19
Cd 0.7047 0.3458 0.3589  4 Cd 2.80-3.04, 1 Ag 2.89
Cd 0.8525 0.1374 0.7151  4 Cd 2.87-3.04, 2 Ag 3.19
Cd 0.9869 0.3458 0.6411  4 Cd 2.80-3.04, 1 Ag 2.89
Ag 0.3315 0.5000 0.8315  8 Cd 2.89-3.19
Ag 0.6685 0.5000 0.1685  8 Cd 2.89-3.19

=====

Entry from the Alexandria database: a relaxed structure of Nd2ScAl (GGA-PBE).

## Properties
**DOS at the Fermi energy**: 4.79 states/eV per cell
**Energy relative to the elements**: -0.1656 eV per atom
**VASP energy**: -5.07 eV per atom
**Total moment**: 0.001 Bohr magnetons per cell
**Space group**: No. 123
**E above lowest polymorph**: 0.0 meV per atom

a = 4.7712 Å, b = 4.7712 Å, c = 4.7401 Å
α = 90.00°, β = 90.00°, γ = 90.00°
Last column: nearest neighbours and their distance in Å.
Sites, in units of the cell vectors:
Nd 0.0000 0.5000 0.0000  4 Sc 3.36, 4 Al 3.36, 4 Nd 3.37
Nd 0.5000 0.0000 0.0000  4 Sc 3.36, 4 Al 3.36, 4 Nd 3.37
Sc 0.0000 0.0000 0.5000  8 Nd 3.36, 4 Al 3.37
Al 0.5000 0.5000 0.5000  8 Nd 3.36, 4 Sc 3.37

=====

Entry from the Alexandria database: a relaxed structure of TlTe2IN (GGA-PBE).

## Properties
**DOS at the Fermi energy**: 3.44 states/eV per cell
**VASP energy**: -2.76 eV per atom
**Total moment**: 0.000 Bohr magnetons per cell
**Space group**: No. 123
**ΔE_f (raw)**: 948 meV/atom
**E above lowest polymorph**: 342.1 meV per atom

a = 6.3246 Å, b = 6.3246 Å, c = 3.9228 Å
α = 90.00°, β = 90.00°, γ = 90.00°
Last column: nearest neighbours and their distance in Å.
Sites, in units of the cell vectors:
Tl 0.0000 0.0000 0.0000  8 Te 3.72, 2 Tl 3.92
Te 0.0000 0.5000 0.5000  2 I 3.16
Te 0.5000 0.0000 0.5000  2 I 3.16
I 0.5000 0.5000 0.5000  2 N 1.96
N 0.5000 0.5000 0.0000  2 I 1.96

=====

Entry from the Alexandria database: a relaxed structure of UPt5Rh4 (GGA-PBE).

## Properties
**DOS at the Fermi energy**: 14.05 states/eV per cell
**Energy relative to the elements**: -0.1323 eV per atom
**VASP energy**: -7.22 eV per atom
**Total moment**: 0.000 Bohr magnetons per cell
**Space group**: No. 12

a = 7.1003 Å, b = 7.1003 Å, c = 6.9487 Å
α = 117.68°, β = 117.68°, γ = 33.29°
Last column: nearest neighbours and their distance in Å.
Sites, in units of the cell vectors:
U 0.0000 0.0000 0.0000  6 Rh 2.64-2.73
Pt 0.0000 0.0000 0.5000  6 Rh 2.72-2.74, 4 Pt 2.83
Pt 0.3196 0.3196 0.8931  3 Pt 2.71-2.77, 5 Rh 2.73-2.99, 2 U 2.99
Pt 0.3364 0.3364 0.2973  5 Rh 2.69-2.90, 5 Pt 2.71-2.83
Pt 0.6636 0.6636 0.7027  5 Rh 2.69-2.90, 5 Pt 2.71-2.83
Pt 0.6804 0.6804 0.1069  3 Pt 2.71-2.77, 5 Rh 2.73-2.99, 2 U 2.99
Rh 0.1764 0.1764 0.4181  7 Pt 2.69-2.99, 4 Rh 2.69-2.72, 1 U 2.73
Rh 0.4751 0.4751 0.7375  2 U 2.64, 6 Pt 2.69-2.80, 2 Rh 2.72
Rh 0.5249 0.5249 0.2625  2 U 2.64, 6 Pt 2.69-2.80, 2 Rh 2.72
Rh 0.8236 0.8236 0.5819  7 Pt 2.69-2.99, 4 Rh 2.69-2.72, 1 U 2.73